No. 1
MgTl3Se after structural relaxation. Source: Alexandria via LeMat-Bulk, functional PBE.

Summary:
Space group: No. 221
Energy above the most stable polymorph in this dataset, eV per atom: 0.000
Total moment, Bohr magnetons per cell: 0.00
Crystal system: cubic
Formation energy (no corrections), eV/atom: 0.1878

Unit cell a=5.4996 b=5.4996 c=5.4996 alpha=90.00 beta=90.00 gamma=90.00
Atoms (fractional coordinates):
1 Mg 0.0000 0.0000 0.0000
2 Tl 0.0000 0.0000 0.5000
3 Tl 0.0000 0.5000 0.0000
4 Tl 0.5000 0.0000 0.0000
5 Se 0.5000 0.5000 0.5000


No. 2
Mg2TlSe after structural relaxation. Source: Alexandria via LeMat-Bulk, functional PBE.

Summary:
Space group: No. 225
Energy above the most stable polymorph in this dataset, eV per atom: 0.412
Total moment, Bohr magnetons per cell: 0.00
Crystal system: cubic
Formation energy (no corrections), eV/atom: -0.1227

Unit cell a=5.0944 b=5.0944 c=5.0944 alpha=60.00 beta=60.00 gamma=60.00
Atoms (fractional coordinates):
1 Mg 0.2500 0.2500 0.2500
2 Mg 0.7500 0.7500 0.7500
3 Tl 0.0000 0.0000 0.0000
4 Se 0.5000 0.5000 0.5000


No. 3
MgTl3Se after structural relaxation. Source: Alexandria via LeMat-Bulk, functional PBE.

Summary:
Space group: No. 221
Energy above the most stable polymorph in this dataset, eV per atom: 0.048
Total moment, Bohr magnetons per cell: 0.00
Crystal system: cubic
Formation energy (no corrections), eV/atom: 0.2362

Unit cell a=5.9390 b=5.9390 c=5.9390 alpha=90.00 beta=90.00 gamma=90.00
Atoms (fractional coordinates):
1 Mg 0.0000 0.0000 0.0000
2 Tl 0.0000 0.5000 0.5000
3 Tl 0.5000 0.0000 0.5000
4 Tl 0.5000 0.5000 0.0000
5 Se 0.5000 0.5000 0.5000


No. 4
MgTlSe after structural relaxation. Source: Alexandria via LeMat-Bulk, functional PBE.

Summary:
Space group: No. 156
Energy above the most stable polymorph in this dataset, eV per atom: 0.078
Total moment, Bohr magnetons per cell: 0.00
Crystal system: trigonal
Formation energy (no corrections), eV/atom: -0.5523

Unit cell a=4.0960 b=4.0960 c=5.7148 alpha=90.00 beta=90.00 gamma=120.00
Atoms (fractional coordinates):
1 Mg 0.0000 0.0000 0.0000
2 Tl 0.3333 0.6667 0.6026
3 Se 0.6667 0.3333 0.1794


- Which formula does entry 2 have?
  Mg2TlSe


- Which of these has the highest formation energy (no corrections)?
  number 3